YVBi2As | GGA-PBE | relaxed

Values from the calculation:
Its total magnetization is 0.017 μB/atom. The crystal system is tetragonal. For the formation energy, the calculation gives 0.811 eV per atom.

Cell and atoms, written as CIF:
```
data_YVBi2As
_space_group_name_H-M_alt 'P 4/m m m'
_space_group_IT_number 123
_space_group_name_Hall '-P 4 2'
_cell_length_a 5.5944
_cell_length_b 5.5944
_cell_length_c 5.2404
_cell_angle_alpha 90.00
_cell_angle_beta 90.00
_cell_angle_gamma 90.00
loop_
_atom_site_label
_atom_site_fract_x
_atom_site_fract_y
_atom_site_fract_z
_atom_site_occupancy
Y1 0.0000 0.0000 0.0000 1
V1 0.5000 0.5000 0.0000 1
Bi1 0.0000 0.5000 0.5000 1
As1 0.0000 0.0000 0.5000 1
```


Rb2YHCl6 | GGA-PBE | relaxed

Values from the calculation:
Its total magnetization is 0.000 μB/atom. The value obtained for the total energy is -4.03 eV per atom. The crystal system is tetragonal.

Cell and atoms, written as CIF:
```
data_Rb2YHCl6
_space_group_name_H-M_alt 'I 4/m m m'
_space_group_IT_number 139
_space_group_name_Hall '-I 4 2'
_cell_length_a 8.2339
_cell_length_b 8.2339
_cell_length_c 9.0939
_cell_angle_alpha 90.00
_cell_angle_beta 90.00
_cell_angle_gamma 90.00
loop_
_atom_site_label
_atom_site_fract_x
_atom_site_fract_y
_atom_site_fract_z
_atom_site_occupancy
Rb1 0.0000 0.5000 0.2500 1
Y1 0.0000 0.0000 0.0000 1
H1 0.0000 0.0000 0.5000 1
Cl1 0.0000 0.0000 0.3241 1
Cl2 0.2223 0.2223 0.0000 1
```


Er4Tl2Cd | GGA-PBE | relaxed

Values from the calculation:
The calculation puts the energy above the lowest structure with this stoichiometry at 0.000 eV per atom. Its total magnetization is 0.000 μB/atom. The crystal system is trigonal. For the formation energy, the calculation gives -0.195 eV per atom.

Cell and atoms, written as CIF:
```
data_Er4Tl2Cd
_space_group_name_H-M_alt 'R -3 m'
_space_group_IT_number 166
_space_group_name_Hall '-R 3 2"'
_cell_length_a 5.2162
_cell_length_b 5.2162
_cell_length_c 25.3866
_cell_angle_alpha 90.00
_cell_angle_beta 90.00
_cell_angle_gamma 120.00
loop_
_atom_site_label
_atom_site_fract_x
_atom_site_fract_y
_atom_site_fract_z
_atom_site_occupancy
Er1 0.0000 0.0000 0.1207 1
Er2 0.0000 0.0000 0.3725 1
Tl1 0.0000 0.0000 0.2503 1
Cd1 0.0000 0.0000 0.5000 1
```


Li3ScF6 | GGA-PBE | relaxed

Values from the calculation:
The calculation puts the energy above the lowest structure with this stoichiometry at 0.027 eV per atom. The calculation puts the formation energy (no corrections) at -33.309 eV per formula unit. Its total magnetization is 0.000 μB/atom. The crystal system is trigonal.

Cell and atoms, written as CIF:
```
data_Li3ScF6
_space_group_name_H-M_alt 'R -3'
_space_group_IT_number 148
_space_group_name_Hall '-R 3'
_cell_length_a 8.7427
_cell_length_b 8.7427
_cell_length_c 10.4461
_cell_angle_alpha 90.00
_cell_angle_beta 90.00
_cell_angle_gamma 120.00
loop_
_atom_site_label
_atom_site_fract_x
_atom_site_fract_y
_atom_site_fract_z
_atom_site_occupancy
Li1 0.0361 0.2642 0.2141 1
Sc1 0.0000 0.0000 0.0000 1
Sc2 0.0000 0.0000 0.5000 1
F1 0.0149 0.1876 0.8782 1
F2 0.0234 0.2045 0.3942 1
```


BaSrMgBi2 | GGA-PBE | relaxed

Values from the calculation:
Its total magnetization is 0.000 μB/atom. The crystal system is tetragonal. For the formation energy, the calculation gives 0.617 eV per atom.

Cell and atoms, written as CIF:
```
data_BaSrMgBi2
_space_group_name_H-M_alt 'P 4/m m m'
_space_group_IT_number 123
_space_group_name_Hall '-P 4 2'
_cell_length_a 6.3592
_cell_length_b 6.3592
_cell_length_c 6.8255
_cell_angle_alpha 90.00
_cell_angle_beta 90.00
_cell_angle_gamma 90.00
loop_
_atom_site_label
_atom_site_fract_x
_atom_site_fract_y
_atom_site_fract_z
_atom_site_occupancy
Ba1 0.0000 0.0000 0.0000 1
Sr1 0.0000 0.0000 0.5000 1
Mg1 0.5000 0.5000 0.5000 1
Bi1 0.0000 0.5000 0.0000 1
```


La2TlCo | GGA-PBE | relaxed

Values from the calculation:
Its total magnetization is 0.000 μB/atom. The crystal system is trigonal. For the formation energy, the calculation gives -0.195 eV per atom.

Cell and atoms, written as CIF:
```
data_La2TlCo
_space_group_name_H-M_alt 'R -3 m'
_space_group_IT_number 166
_space_group_name_Hall '-R 3 2"'
_cell_length_a 3.9991
_cell_length_b 3.9991
_cell_length_c 25.2819
_cell_angle_alpha 90.00
_cell_angle_beta 90.00
_cell_angle_gamma 120.00
loop_
_atom_site_label
_atom_site_fract_x
_atom_site_fract_y
_atom_site_fract_z
_atom_site_occupancy
La1 0.0000 0.0000 0.2287 1
Tl1 0.0000 0.0000 0.0000 1
Co1 0.0000 0.0000 0.5000 1
```


What is the formula in the sixth record? La2TlCo